The following is a PBE calculation of an optimized crystal structure of La5Pr5Nd2, from Alexandria.

Values from the calculation:
N(E_F) in states/eV/atom: 1.856
M_tot in μB per formula unit: 0.00
Crystal system: triclinic
Energy in eV per atom: -4.8265

Cell: 6.4417 8.3081 9.1093 Å, 111.26 90.19 104.80°
Closest atoms and distances in Å follow each position.
Space group P-1 (No. 2)
Symmetry-distinct sites (fractional):
1 La 0.0000 0.0000 0.0000 [1 per cell]  6 Pr 3.71-3.73, 4 La 3.72-3.73, 2 Nd 3.72
2 La 0.0830 0.7494 0.5831 [2 per cell]  4 La 3.71-3.73, 6 Pr 3.71-3.73, 2 Nd 3.72-3.73
3 La 0.2502 0.2506 0.7507 [2 per cell]  6 Pr 3.71-3.73, 3 Nd 3.71-3.72, 3 La 3.72-3.73
4 Pr 0.3325 0.9993 0.3332 [2 per cell]  7 La 3.71-3.73, 1 Nd 3.72, 4 Pr 3.72-3.73
5 Pr 0.4163 0.7494 0.9165 [2 per cell]  5 La 3.71-3.73, 3 Nd 3.71-3.72, 4 Pr 3.72-3.73
6 Pr 0.5000 0.5000 0.5000 [1 per cell]  6 La 3.71-3.72, 2 Nd 3.72, 4 Pr 3.72-3.73
7 Nd 0.1662 0.5001 0.1661 [2 per cell]  1 Nd 3.70, 6 La 3.71-3.73, 5 Pr 3.71-3.72